A relaxed structure of Ho7Tl5Cd, computed with PBE.

abc: 8.229 8.229 8.229
angles: 132.60 98.93 99.67
Positions (direct):
Ho: 0.000 0.000 0.000
Ho: 0.058 0.737 0.321
Ho: 0.354 0.354 0.000
Ho: 0.416 0.737 0.679
Ho: 0.504 0.004 0.500
Ho: 0.580 0.255 0.325
Ho: 0.930 0.255 0.675
Tl: 0.260 0.250 0.520
Tl: 0.260 0.740 0.010
Tl: 0.730 0.250 0.990
Tl: 0.730 0.740 0.480
Tl: 0.997 0.497 0.500
Cd: 0.691 0.691 0.000

Computed properties:
- ΔE_f: -0.121 eV per atom



A relaxed structure of Sr2InHg4, computed with PBE.

abc: 9.389 9.389 9.389
angles: 146.42 146.42 48.22
Positions (direct):
Sr: 0.132 0.132 0.000
Sr: 0.868 0.868 0.000
In: 0.500 0.500 0.000
Hg: 0.000 0.500 0.500
Hg: 0.321 0.321 0.000
Hg: 0.500 0.000 0.500
Hg: 0.679 0.679 0.000

Computed properties:
- ΔE_f: -0.190 eV per atom



A relaxed structure of In2FeP, computed with PBE.

abc: 5.947 5.947 5.947
angles: 103.14 103.14 123.05
Positions (direct):
In: 0.121 0.125 0.496
In: 0.375 0.879 0.004
In: 0.629 0.625 0.504
In: 0.875 0.371 0.996
Fe: 0.250 0.750 0.500
Fe: 0.500 0.500 0.000
P: 0.000 0.000 0.000
P: 0.750 0.250 0.500

Computed properties:
- ΔE_f: 0.686 eV per atom



A relaxed structure of RbPu2SnSe4, computed with PBE.

abc: 7.619 7.619 16.351
angles: 90.00 90.00 147.26
Positions (direct):
Rb: 0.123 0.877 0.750
Rb: 0.877 0.123 0.250
Pu: 0.371 0.629 0.553
Pu: 0.371 0.629 0.947
Pu: 0.629 0.371 0.053
Pu: 0.629 0.371 0.447
Sn: 0.170 0.830 0.250
Sn: 0.830 0.170 0.750
Se: 0.000 0.000 0.000
Se: 0.000 0.000 0.500
Se: 0.260 0.740 0.092
Se: 0.260 0.740 0.408
Se: 0.449 0.551 0.750
Se: 0.551 0.449 0.250
Se: 0.740 0.260 0.592
Se: 0.740 0.260 0.908

Computed properties:
- Formation energy (no corrections): -1065 meV per atom



A relaxed structure of Pt2Au, computed with PBE.

abc: 7.477 7.477 4.847
angles: 90.00 90.00 158.52
Positions (direct):
Pt: 0.055 0.945 0.750
Pt: 0.281 0.719 0.250
Pt: 0.719 0.281 0.750
Pt: 0.945 0.055 0.250
Au: 0.387 0.613 0.750
Au: 0.613 0.387 0.250

Computed properties:
- Distance to the lowest polymorph of the same formula: 73 meV/atom
- ΔE_f: 0.113 eV per atom



A relaxed structure of RbNd2Er, computed with PBE.

abc: 13.657 13.657 13.657
angles: 15.51 15.51 15.51
Positions (direct):
Rb: 0.000 0.000 0.000
Nd: 0.097 0.097 0.097
Nd: 0.903 0.903 0.903
Er: 0.500 0.500 0.500

Computed properties:
- ΔE_f: 0.246 eV per atom



A relaxed structure of BaCd2HgPt, computed with PBE.

abc: 5.328 5.328 5.949
angles: 90.00 90.00 90.00
Positions (direct):
Ba: 0.000 0.000 0.000
Cd: 0.000 0.500 0.500
Cd: 0.500 0.000 0.500
Hg: 0.500 0.500 0.000
Pt: 0.000 0.000 0.500

Computed properties:
- Distance to the lowest polymorph of the same formula: 17 meV/atom
- ΔE_f: -0.345 eV per atom



A relaxed structure of Ba2SrRu, computed with PBE.

abc: 6.914 6.914 7.294
angles: 118.28 118.28 34.96
Positions (direct):
Ba: 0.000 0.000 0.000
Ba: 0.165 0.165 0.625
Sr: 0.335 0.335 0.327
Ru: 0.659 0.659 0.322

Computed properties:
- Distance to the lowest polymorph of the same formula: 0 meV/atom
- ΔE_f: 0.311 eV per atom



A relaxed structure of Cd2In4Bi, computed with PBE.

abc: 19.719 19.719 19.719
angles: 9.73 9.73 9.73
Positions (direct):
Cd: 0.070 0.070 0.070
Cd: 0.930 0.930 0.930
In: 0.218 0.218 0.218
In: 0.357 0.357 0.357
In: 0.643 0.643 0.643
In: 0.782 0.782 0.782
Bi: 0.500 0.500 0.500

Computed properties:
- ΔE_f: 0.041 eV per atom



A relaxed structure of SrZrOs2, computed with PBE.

abc: 2.949 3.796 8.174
angles: 90.00 90.00 90.00
Positions (direct):
Sr: 0.000 0.000 0.000
Zr: 0.500 0.500 0.377
Os: 0.000 0.000 0.589
Os: 0.500 0.500 0.705

Computed properties:
- Distance to the lowest polymorph of the same formula: 88 meV/atom
- ΔE_f: 0.373 eV per atom



A relaxed structure of TbHoBi, computed with PBE.

abc: 4.545 4.545 8.634
angles: 90.00 90.00 90.00
Positions (direct):
Tb: 0.250 0.250 0.153
Tb: 0.750 0.750 0.847
Ho: 0.250 0.750 0.500
Ho: 0.750 0.250 0.500
Bi: 0.250 0.250 0.782
Bi: 0.750 0.750 0.218

Computed properties:
- ΔE_f: -0.601 eV per atom



A relaxed structure of Li3Cd3Bi, computed with PBE.

abc: 10.987 10.987 10.987
angles: 31.72 31.72 31.72
Positions (direct):
Li: 0.213 0.213 0.706
Li: 0.213 0.706 0.213
Li: 0.294 0.787 0.787
Li: 0.706 0.213 0.213
Li: 0.787 0.294 0.787
Li: 0.787 0.787 0.294
Cd: 0.124 0.627 0.627
Cd: 0.373 0.373 0.876
Cd: 0.373 0.876 0.373
Cd: 0.627 0.124 0.627
Cd: 0.627 0.627 0.124
Cd: 0.876 0.373 0.373
Bi: 0.299 0.299 0.299
Bi: 0.701 0.701 0.701

Computed properties:
- Distance to the lowest polymorph of the same formula: 0 meV/atom
- ΔE_f: -0.135 eV per atom



A relaxed structure of HfMnCoSi, computed with PBE.

abc: 4.191 4.191 4.191
angles: 60.00 60.00 60.00
Positions (direct):
Hf: 0.000 0.000 0.000
Mn: 0.250 0.250 0.250
Co: 0.750 0.750 0.750
Si: 0.500 0.500 0.500

Computed properties:
- Formation energy (no corrections): -457 meV per atom



A relaxed structure of Tl2HgPd8, computed with PBE.

abc: 7.583 7.583 6.490
angles: 106.27 106.27 31.89
Positions (direct):
Tl: 0.220 0.220 0.159
Tl: 0.780 0.780 0.841
Hg: 0.500 0.500 0.500
Pd: 0.038 0.038 0.224
Pd: 0.141 0.141 0.690
Pd: 0.324 0.324 0.590
Pd: 0.408 0.408 0.042
Pd: 0.592 0.592 0.958
Pd: 0.676 0.676 0.410
Pd: 0.859 0.859 0.310
Pd: 0.962 0.962 0.776

Computed properties:
- Distance to the lowest polymorph of the same formula: 0 meV/atom
- ΔE_f: -0.152 eV per atom



A relaxed structure of LiScRu2, computed with PBE.

abc: 3.226 3.226 5.696
angles: 90.00 90.00 90.00
Positions (direct):
Li: 0.000 0.000 0.000
Sc: 0.000 0.000 0.500
Ru: 0.500 0.500 0.219
Ru: 0.500 0.500 0.781

Computed properties:
- ΔE_f: 0.024 eV per atom



A relaxed structure of NdRe4N8, computed with PBE.

abc: 6.005 6.005 6.005
angles: 64.64 64.64 64.64
Positions (direct):
Nd: 0.000 0.000 0.000
Re: 0.000 0.500 0.500
Re: 0.500 0.000 0.500
Re: 0.500 0.500 0.000
Re: 0.500 0.500 0.500
N: 0.268 0.268 0.268
N: 0.268 0.268 0.706
N: 0.268 0.706 0.268
N: 0.294 0.732 0.732
N: 0.706 0.268 0.268
N: 0.732 0.294 0.732
N: 0.732 0.732 0.294
N: 0.732 0.732 0.732

Computed properties:
- Formation energy (no corrections): 216 meV per atom



A relaxed structure of PrHf2Ti, computed with PBE.

abc: 11.277 11.277 11.277
angles: 16.12 16.12 16.12
Positions (direct):
Pr: 0.000 0.000 0.000
Hf: 0.097 0.097 0.097
Hf: 0.903 0.903 0.903
Ti: 0.500 0.500 0.500

Computed properties:
- ΔE_f: 0.300 eV per atom



A relaxed structure of Sr2Mg12AgHg3, computed with PBE.

abc: 10.964 10.964 10.964
angles: 40.82 40.82 40.82
Positions (direct):
Sr: 0.149 0.149 0.149
Sr: 0.851 0.851 0.851
Mg: 0.085 0.085 0.691
Mg: 0.085 0.691 0.085
Mg: 0.151 0.572 0.572
Mg: 0.309 0.915 0.915
Mg: 0.428 0.428 0.849
Mg: 0.428 0.849 0.428
Mg: 0.572 0.151 0.572
Mg: 0.572 0.572 0.151
Mg: 0.691 0.085 0.085
Mg: 0.849 0.428 0.428
Mg: 0.915 0.309 0.915
Mg: 0.915 0.915 0.309
Ag: 0.500 0.500 0.500
Hg: 0.000 0.500 0.500
Hg: 0.500 0.000 0.500
Hg: 0.500 0.500 0.000

Computed properties:
- ΔE_f: 0.017 eV per atom



A relaxed structure of NaCo2Cl6, computed with PBE.

abc: 8.937 8.937 6.604
angles: 98.74 98.74 86.59
Positions (direct):
Na: 0.114 0.886 0.750
Na: 0.886 0.114 0.250
Co: 0.213 0.375 0.716
Co: 0.375 0.213 0.216
Co: 0.625 0.787 0.784
Co: 0.787 0.625 0.284
Cl: 0.042 0.200 0.650
Cl: 0.139 0.593 0.867
Cl: 0.200 0.042 0.150
Cl: 0.290 0.417 0.418
Cl: 0.407 0.861 0.633
Cl: 0.417 0.290 0.918
Cl: 0.583 0.710 0.082
Cl: 0.593 0.139 0.367
Cl: 0.710 0.583 0.582
Cl: 0.800 0.958 0.850
Cl: 0.861 0.407 0.133
Cl: 0.958 0.800 0.350

Computed properties:
- Formation energy (no corrections): -812 meV per atom



A relaxed structure of BeNiCl, computed with PBE.

abc: 3.257 3.024 9.181
angles: 90.00 97.22 90.00
Positions (direct):
Be: 0.225 0.250 0.335
Be: 0.775 0.750 0.665
Ni: 0.266 0.250 0.570
Ni: 0.734 0.750 0.430
Cl: 0.313 0.750 0.189
Cl: 0.687 0.250 0.811

Computed properties:
- Distance to the lowest polymorph of the same formula: 8 meV/atom
- Formation energy (no corrections): -413 meV per atom